1.
9
Lattice="4.6487 0.0000 0.0000 0.0000 4.6487 0.0000 0.0000 0.0000 7.0669" Properties=species:S:1:pos:R:3 comment="PmGa5Ni2Ir | the Alexandria database | GGA-PBE | optimized geometry" crystal_system=tetragonal pbc="T T T"
Pm 0.0000 0.0000 0.0000
Ga 0.0000 2.3244 2.1850
Ga 0.0000 2.3244 4.8819
Ga 2.3244 0.0000 2.1850
Ga 2.3244 0.0000 4.8819
Ga 2.3244 2.3244 0.0000
Ni 2.3244 2.3244 2.2800
Ni 2.3244 2.3244 4.7869
Ir 0.0000 0.0000 3.5335

2.
12
Lattice="3.7309 -5.4134 0.0000 3.7309 5.4134 0.0000 0.0000 0.0000 5.6990" Properties=species:S:1:pos:R:3 comment="PmGa3NiIr | the Alexandria database | GGA-PBE | optimized geometry" crystal_system=orthorhombic pbc="T T T"
Pm 3.7309 3.1157 4.2742
Pm 3.7309 -3.1157 1.4247
Ga 1.8335 0.0000 0.0000
Ga 1.8335 0.0000 2.8495
Ga 3.7309 1.9376 1.4247
Ga 3.7309 -1.9376 4.2742
Ga 5.6283 0.0000 0.0000
Ga 5.6283 0.0000 2.8495
Ni 3.7309 0.3764 4.2742
Ni 3.7309 -0.3764 1.4247
Ir 3.7309 4.3735 1.4247
Ir 3.7309 -4.3735 4.2742

3.
10
Lattice="4.1777 0.0000 0.0000 0.0000 4.1777 0.0000 0.0000 0.0000 9.9393" Properties=species:S:1:pos:R:3 comment="Pm2Ga4Ni3Ir | the Alexandria database | GGA-PBE | optimized geometry" crystal_system=tetragonal pbc="T T T"
Pm 0.0000 2.0888 2.4825
Pm 2.0888 0.0000 7.4568
Ga 0.0000 0.0000 0.0000
Ga 0.0000 2.0888 6.3080
Ga 2.0888 0.0000 3.6313
Ga 2.0888 2.0888 0.0000
Ni 0.0000 2.0888 8.6876
Ni 2.0888 0.0000 1.2516
Ni 2.0888 2.0888 4.9696
Ir 0.0000 0.0000 4.9696

4.
10
Lattice="4.2121 0.0000 0.0000 0.0000 4.2121 0.0000 0.0000 0.0000 9.9764" Properties=species:S:1:pos:R:3 comment="Pr2Ga4Ni3Ir | the Alexandria database | GGA-PBE | optimized geometry" crystal_system=tetragonal pbc="T T T"
Pr 0.0000 2.1061 2.4887
Pr 2.1061 0.0000 7.4877
Ga 0.0000 0.0000 0.0000
Ga 0.0000 2.1061 6.3163
Ga 2.1061 0.0000 3.6601
Ga 2.1061 2.1061 0.0000
Ni 0.0000 2.1061 8.7252
Ni 2.1061 0.0000 1.2512
Ni 2.1061 2.1061 4.9882
Ir 0.0000 0.0000 4.9882

5.
8
Lattice="2.0534 1.1855 8.4054 -2.0534 1.1855 8.4054 0.0000 -2.3711 8.4054" Properties=species:S:1:pos:R:3 comment="PrGa2Ni4Ir | the Alexandria database | GGA-PBE | optimized geometry" crystal_system=trigonal pbc="T T T"
Pr 0.0000 0.0000 0.0000
Ga 0.0000 0.0000 5.7425
Ga 0.0000 0.0000 19.4736
Ni 0.0000 0.0000 3.0089
Ni 0.0000 0.0000 10.1645
Ni 0.0000 0.0000 15.0516
Ni 0.0000 0.0000 22.2072
Ir 0.0000 0.0000 12.6080

6.
8
Lattice="2.0742 1.1975 9.0522 -2.0742 1.1975 9.0522 0.0000 -2.3950 9.0522" Properties=species:S:1:pos:R:3 comment="PrGa4Ni2Ir | the Alexandria database | GGA-PBE | optimized geometry" crystal_system=trigonal pbc="T T T"
Pr 0.0000 0.0000 0.0000
Ga 0.0000 0.0000 3.5127
Ga 0.0000 0.0000 10.9631
Ga 0.0000 0.0000 16.1933
Ga 0.0000 0.0000 23.6438
Ni 0.0000 0.0000 6.1992
Ni 0.0000 0.0000 20.9573
Ir 0.0000 0.0000 13.5782

7.
5
Lattice="-2.0436 2.1000 5.3300 2.0436 -2.1000 5.3300 2.0436 2.1000 -5.3300" Properties=species:S:1:pos:R:3 comment="PrGaNiIr2 | the Alexandria database | GGA-PBE | optimized geometry" crystal_system=orthorhombic pbc="T T T"
Pr 0.0000 0.0000 0.0000
Ga 2.0436 0.0000 2.5709
Ni 0.0000 0.0000 6.5646
Ir 0.0000 0.0000 4.1094
Ir 0.0000 2.1000 2.7050

8.
4
Lattice="4.1701 0.0000 0.0000 0.0000 1.9847 4.6702 0.0000 -1.9847 4.6702" Properties=species:S:1:pos:R:3 comment="PrGaNiIr | the Alexandria database | GGA-PBE | optimized geometry" crystal_system=orthorhombic pbc="T T T"
Pr 0.0000 0.0000 0.0000
Ga 2.0851 0.0000 2.7334
Ni 0.0000 0.0000 6.7422
Ir 2.0851 0.0000 5.4255

9.
12
Lattice="3.0611 -5.8391 0.0000 3.0611 5.8391 0.0000 0.0000 0.0000 6.3958" Properties=species:S:1:pos:R:3 comment="PrGa3NiIr | the Alexandria database | GGA-PBE | optimized geometry" crystal_system=orthorhombic pbc="T T T"
Pr 3.0611 3.0817 4.7969
Pr 3.0611 -3.0817 1.5990
Ga 1.3254 0.0000 0.0000
Ga 1.3254 0.0000 3.1979
Ga 3.0611 1.9921 1.5990
Ga 3.0611 -1.9921 4.7969
Ga 4.7967 0.0000 0.0000
Ga 4.7967 0.0000 3.1979
Ni 3.0611 0.2954 4.7969
Ni 3.0611 -0.2954 1.5990
Ir 3.0611 4.3651 1.5990
Ir 3.0611 -4.3651 4.7969

10.
10
Lattice="4.0854 0.0000 0.0000 0.0000 4.0854 0.0000 0.0000 0.0000 10.2848" Properties=species:S:1:pos:R:3 comment="Pr2Ga3Ni4Ir | the Alexandria database | GGA-PBE | optimized geometry" crystal_system=tetragonal pbc="T T T"
Pr 0.0000 2.0427 2.5478
Pr 2.0427 0.0000 7.7370
Ga 0.0000 0.0000 0.0000
Ga 0.0000 2.0427 6.4158
Ga 2.0427 0.0000 3.8691
Ni 0.0000 0.0000 5.1424
Ni 0.0000 2.0427 8.8527
Ni 2.0427 0.0000 1.4321
Ni 2.0427 2.0427 5.1424
Ir 2.0427 2.0427 0.0000

11.
9
Lattice="4.6605 0.0000 0.0000 0.0000 4.6605 0.0000 0.0000 0.0000 7.1168" Properties=species:S:1:pos:R:3 comment="PrGa5Ni2Ir | the Alexandria database | GGA-PBE | optimized geometry" crystal_system=tetragonal pbc="T T T"
Pr 0.0000 0.0000 0.0000
Ga 0.0000 2.3303 2.2181
Ga 0.0000 2.3303 4.8987
Ga 2.3303 0.0000 2.2181
Ga 2.3303 0.0000 4.8987
Ga 2.3303 2.3303 0.0000
Ni 2.3303 2.3303 2.2826
Ni 2.3303 2.3303 4.8342
Ir 0.0000 0.0000 3.5584

12.
8
Lattice="2.1274 1.2282 8.7447 -2.1274 1.2282 8.7447 0.0000 -2.4565 8.7447" Properties=species:S:1:pos:R:3 comment="PrGa4NiIr2 | the Alexandria database | GGA-PBE | optimized geometry" crystal_system=trigonal pbc="T T T"
Pr 0.0000 0.0000 0.0000
Ga 0.0000 0.0000 3.4723
Ga 0.0000 0.0000 10.5864
Ga 0.0000 0.0000 15.6478
Ga 0.0000 0.0000 22.7619
Ni 0.0000 0.0000 13.1171
Ir 0.0000 0.0000 6.0535
Ir 0.0000 0.0000 20.1807

| no. | calculated formation energy (meV per atom) |
| --- | --- |
| 1 | -296 |
| 2 | -401 |
| 3 | -612 |
| 4 | -594 |
| 5 | -282 |
| 6 | -475 |
| 7 | -358 |
| 8 | -339 |
| 9 | -434 |
| 10 | -476 |
| 11 | -306 |
| 12 | -536 |